Computed, not measured: a relaxed structure of ZnRu2Br at the PBE level of DFT.

Output
* N(E_F): 8.64 states/eV per cell
* distance to the lowest polymorph of the same formula: 364 meV/atom
* energy: -38.22 eV for the cell shown
* E_form (uncorrected): 0.5970 eV/atom
* space-group type: C2/m (12)
* crystal system: monoclinic

Lattice parameters (Å, degrees): 8.502 2.967 5.036 90.00 102.14 90.00
Element x y z (fractional)
Zn 0.000 0.000 0.000
Zn 0.500 0.500 0.000
Ru 0.248 0.500 0.232
Ru 0.252 0.000 0.768
Ru 0.748 0.000 0.232
Ru 0.752 0.500 0.768
Br 0.000 0.500 0.500
Br 0.500 0.000 0.500